# 1
NaCeZrS4, relaxed, DFT GGA-PBE; ΔE_f (raw) = -1.642 eV per atom; volume = 183.4 Å³/f.u.; crystal system = orthorhombic; symmetry = No. 74; uncorrected energy = -6.26 eV per atom
1.0
-3.8153 4.2145 5.7040
3.8153 -4.2145 5.7040
3.8153 4.2145 -5.7040
Na Ce Zr S
2 2 2 8
direct
0.3866 0.1366 0.2500 Na
0.6134 0.8634 0.7500 Na
0.0000 0.5000 0.5000 Ce
0.5000 0.5000 0.0000 Ce
0.0000 0.0000 0.5000 Zr
0.0000 0.5000 0.0000 Zr
0.2077 0.7456 0.4622 S
0.2166 0.2544 0.9622 S
0.2266 0.2385 0.5119 S
0.2266 0.7146 0.9881 S
0.7734 0.2854 0.0119 S
0.7734 0.7615 0.4881 S
0.7834 0.7456 0.0378 S
0.7923 0.2544 0.5378 S

# 2
Na3CeZr2S6, relaxed, DFT GGA-PBE; ΔE_f (raw) = -1.551 eV per atom; volume = 258.0 Å³/f.u.; crystal system = monoclinic; symmetry = No. 12; uncorrected energy = -5.86 eV per atom
1.0
3.3095 -5.7368 0.0000
3.3095 5.7368 0.0000
-2.2183 0.0000 6.7935
Na Ce Zr S
3 1 2 6
direct
0.0000 0.0000 0.0000 Na
0.3363 0.6637 0.0000 Na
0.6637 0.3363 0.0000 Na
0.5000 0.5000 0.5000 Ce
0.1670 0.8330 0.5000 Zr
0.8330 0.1670 0.5000 Zr
0.0734 0.4240 0.2725 S
0.2257 0.2257 0.7278 S
0.4240 0.0734 0.2725 S
0.5760 0.9266 0.7275 S
0.7743 0.7743 0.2722 S
0.9266 0.5760 0.7275 S

# 3
NaCeSb2, relaxed, DFT GGA-PBE; ΔE_f (raw) = -0.636 eV per atom; volume = 108.1 Å³/f.u.; crystal system = tetragonal; E above lowest polymorph = 0.0 kJ per mole of atoms; symmetry = No. 123; uncorrected energy = -4.51 eV per atom
1.0
5.0567 0.0000 0.0000
0.0000 5.0567 0.0000
0.0000 0.0000 4.2292
Na Ce Sb
1 1 2
direct
0.0000 0.0000 0.0000 Na
0.5000 0.5000 0.0000 Ce
0.0000 0.5000 0.5000 Sb
0.5000 0.0000 0.5000 Sb

# 4
NaCe5Sb6, relaxed, DFT GGA-PBE; ΔE_f (raw) = -0.892 eV per atom; volume = 389.9 Å³/f.u.; crystal system = monoclinic; symmetry = No. 12; uncorrected energy = -5.54 eV per atom
1.0
3.9138 -6.7681 0.0000
3.9138 6.7681 0.0000
-2.5932 0.0000 7.3595
Na Ce Sb
1 5 6
direct
0.0000 0.0000 0.0000 Na
0.1633 0.8367 0.5000 Ce
0.3319 0.6681 0.0000 Ce
0.5000 0.5000 0.5000 Ce
0.6681 0.3319 0.0000 Ce
0.8367 0.1633 0.5000 Ce
0.0855 0.4272 0.2544 Sb
0.2576 0.2576 0.7472 Sb
0.4272 0.0855 0.2544 Sb
0.5728 0.9145 0.7456 Sb
0.7424 0.7424 0.2528 Sb
0.9145 0.5728 0.7456 Sb

# 5
NaCe4Sb5, relaxed, DFT GGA-PBE; ΔE_f (raw) = -0.849 eV per atom; volume = 323.9 Å³/f.u.; crystal system = orthorhombic; symmetry = No. 71; uncorrected energy = -5.42 eV per atom
1.0
-2.2596 3.1627 11.3308
2.2596 -3.1627 11.3308
2.2596 3.1627 -11.3308
Na Ce Sb
1 4 5
direct
0.0000 0.0000 0.0000 Na
0.2008 0.2008 0.0000 Ce
0.4029 0.4029 0.0000 Ce
0.5971 0.5971 0.0000 Ce
0.7992 0.7992 0.0000 Ce
0.1072 0.6072 0.5000 Sb
0.3020 0.8020 0.5000 Sb
0.5000 0.0000 0.5000 Sb
0.6980 0.1980 0.5000 Sb
0.8928 0.3928 0.5000 Sb

# 6
Na2Ce3Sb3, relaxed, DFT GGA-PBE; ΔE_f (raw) = -0.655 eV per atom; volume = 242.6 Å³/f.u.; crystal system = hexagonal; symmetry = No. 193; uncorrected energy = -4.76 eV per atom
1.0
9.3213 0.0000 0.0000
-4.6606 8.0725 0.0000
0.0000 0.0000 6.4487
Na Ce Sb
4 6 6
direct
0.3333 0.6667 0.0000 Na
0.3333 0.6667 0.5000 Na
0.6667 0.3333 0.0000 Na
0.6667 0.3333 0.5000 Na
0.0000 0.2692 0.2500 Ce
0.0000 0.7308 0.7500 Ce
0.2692 0.0000 0.2500 Ce
0.2692 0.2692 0.7500 Ce
0.7308 0.0000 0.7500 Ce
0.7308 0.7308 0.2500 Ce
0.0000 0.3767 0.7500 Sb
0.0000 0.6233 0.2500 Sb
0.3767 0.0000 0.7500 Sb
0.3767 0.3767 0.2500 Sb
0.6233 0.0000 0.2500 Sb
0.6233 0.6233 0.7500 Sb

# 7
NaCeSb2, relaxed, DFT GGA-PBE; ΔE_f (raw) = -0.556 eV per atom; volume = 110.4 Å³/f.u.; crystal system = cubic; E above lowest polymorph = 7.7 kJ per mole of atoms; symmetry = No. 225; uncorrected energy = -4.43 eV per atom
1.0
7.6161 0.0000 0.0000
0.0000 7.6161 0.0000
0.0000 0.0000 7.6161
Na Ce Sb
4 4 8
direct
0.0000 0.0000 0.0000 Na
0.0000 0.5000 0.5000 Na
0.5000 0.0000 0.5000 Na
0.5000 0.5000 0.0000 Na
0.0000 0.0000 0.5000 Ce
0.0000 0.5000 0.0000 Ce
0.5000 0.0000 0.0000 Ce
0.5000 0.5000 0.5000 Ce
0.2500 0.2500 0.2500 Sb
0.2500 0.2500 0.7500 Sb
0.2500 0.7500 0.2500 Sb
0.2500 0.7500 0.7500 Sb
0.7500 0.2500 0.2500 Sb
0.7500 0.2500 0.7500 Sb
0.7500 0.7500 0.2500 Sb
0.7500 0.7500 0.7500 Sb

# 8
NaCeSb, relaxed, DFT GGA-PBE; ΔE_f (raw) = -0.413 eV per atom; volume = 99.5 Å³/f.u.; crystal system = trigonal; symmetry = No. 166; uncorrected energy = -4.20 eV per atom
1.0
2.5066 1.4472 9.1401
-2.5066 1.4472 9.1401
0.0000 -2.8944 9.1401
Na Ce Sb
2 2 2
direct
0.1341 0.1341 0.1341 Na
0.8659 0.8659 0.8659 Na
0.2945 0.2945 0.2945 Ce
0.7055 0.7055 0.7055 Ce
0.4191 0.4191 0.4191 Sb
0.5809 0.5809 0.5809 Sb

# 9
NaCeSb2, relaxed, DFT GGA-PBE; ΔE_f (raw) = -0.529 eV per atom; volume = 126.4 Å³/f.u.; crystal system = trigonal; E above lowest polymorph = 10.4 kJ per mole of atoms; symmetry = No. 160; uncorrected energy = -4.40 eV per atom
1.0
4.7285 0.0000 0.0000
-2.3642 4.0950 0.0000
0.0000 0.0000 19.5837
Na Ce Sb
3 3 6
direct
0.0000 0.0000 0.0000 Na
0.3333 0.6667 0.6667 Na
0.6667 0.3333 0.3333 Na
0.0000 0.0000 0.1782 Ce
0.3333 0.6667 0.8448 Ce
0.6667 0.3333 0.5115 Ce
0.0000 0.0000 0.5937 Sb
0.0000 0.0000 0.7580 Sb
0.3333 0.6667 0.2604 Sb
0.3333 0.6667 0.4247 Sb
0.6667 0.3333 0.0914 Sb
0.6667 0.3333 0.9270 Sb

# 10
NaCeSb2, relaxed, DFT GGA-PBE; ΔE_f (raw) = -0.594 eV per atom; volume = 110.4 Å³/f.u.; crystal system = orthorhombic; E above lowest polymorph = 4.1 kJ per mole of atoms; symmetry = No. 67; uncorrected energy = -4.47 eV per atom
1.0
6.2082 0.0000 0.0000
0.0000 11.0162 0.0000
0.0000 0.0000 6.4569
Na Ce Sb
4 4 8
direct
0.2500 0.0000 0.0000 Na
0.2500 0.5000 0.0000 Na
0.7500 0.0000 0.0000 Na
0.7500 0.5000 0.0000 Na
0.0000 0.2500 0.3132 Ce
0.0000 0.7500 0.6868 Ce
0.5000 0.2500 0.6868 Ce
0.5000 0.7500 0.3132 Ce
0.0000 0.2500 0.8223 Sb
0.0000 0.7500 0.1777 Sb
0.2500 0.0000 0.5000 Sb
0.2500 0.5000 0.5000 Sb
0.5000 0.2500 0.1777 Sb
0.5000 0.7500 0.8223 Sb
0.7500 0.0000 0.5000 Sb
0.7500 0.5000 0.5000 Sb

# 11
NaCeSb2, relaxed, DFT GGA-PBE; ΔE_f (raw) = -0.595 eV per atom; volume = 116.3 Å³/f.u.; crystal system = tetragonal; E above lowest polymorph = 4.0 kJ per mole of atoms; symmetry = No. 123; uncorrected energy = -4.47 eV per atom
1.0
4.0987 0.0000 0.0000
0.0000 4.0987 0.0000
0.0000 0.0000 6.9246
Na Ce Sb
1 1 2
direct
0.0000 0.0000 0.0000 Na
0.0000 0.0000 0.5000 Ce
0.5000 0.5000 0.2747 Sb
0.5000 0.5000 0.7253 Sb

# 12
Na4CeSb3Se8, relaxed, DFT GGA-PBE; ΔE_f (raw) = -0.882 eV per atom; volume = 430.5 Å³/f.u.; crystal system = trigonal; symmetry = No. 166; uncorrected energy = -4.10 eV per atom
1.0
4.2086 2.4298 7.0169
-4.2086 2.4298 7.0169
0.0000 -4.8597 7.0169
Na Ce Sb Se
4 1 3 8
direct
0.0000 0.0000 0.0000 Na
0.0000 0.5000 0.5000 Na
0.5000 0.0000 0.5000 Na
0.5000 0.5000 0.0000 Na
0.5000 0.5000 0.5000 Ce
0.0000 0.0000 0.5000 Sb
0.0000 0.5000 0.0000 Sb
0.5000 0.0000 0.0000 Sb
0.2403 0.7462 0.7462 Se
0.2439 0.2439 0.2439 Se
0.2538 0.2538 0.7597 Se
0.2538 0.7597 0.2538 Se
0.7462 0.2403 0.7462 Se
0.7462 0.7462 0.2403 Se
0.7561 0.7561 0.7561 Se
0.7597 0.2538 0.2538 Se

# 13
Na3CeSb3Se8, relaxed, DFT GGA-PBE; ΔE_f (raw) = -0.827 eV per atom; volume = 426.4 Å³/f.u.; crystal system = monoclinic; symmetry = No. 12; uncorrected energy = -4.17 eV per atom
1.0
7.2155 -4.1661 0.0000
7.2155 4.1661 0.0000
-4.8186 0.0000 7.0920
Na Ce Sb Se
3 1 3 8
direct
0.0000 0.0000 0.0000 Na
0.0000 0.5000 0.0000 Na
0.5000 0.0000 0.0000 Na
0.0000 0.0000 0.5000 Ce
0.0000 0.5000 0.5000 Sb
0.5000 0.0000 0.5000 Sb
0.5000 0.5000 0.5000 Sb
0.2408 0.2408 0.7249 Se
0.2408 0.7437 0.7249 Se
0.2555 0.2555 0.2669 Se
0.2563 0.7592 0.2751 Se
0.7437 0.2408 0.7249 Se
0.7445 0.7445 0.7331 Se
0.7592 0.2563 0.2751 Se
0.7592 0.7592 0.2751 Se

# 14
Na2CeSb2Se6, relaxed, DFT GGA-PBE; ΔE_f (raw) = -0.911 eV per atom; volume = 320.3 Å³/f.u.; crystal system = monoclinic; symmetry = No. 12; uncorrected energy = -4.34 eV per atom
1.0
3.6180 -6.2707 0.0000
3.6180 6.2707 0.0000
-2.5556 0.0000 7.0588
Na Ce Sb Se
2 1 2 6
direct
0.1681 0.8319 0.0000 Na
0.8319 0.1681 0.0000 Na
0.0000 0.0000 0.5000 Ce
0.3303 0.6697 0.5000 Sb
0.6697 0.3303 0.5000 Sb
0.0749 0.4123 0.7253 Se
0.2467 0.2467 0.2745 Se
0.4123 0.0749 0.7253 Se
0.5877 0.9251 0.2747 Se
0.7533 0.7533 0.7255 Se
0.9251 0.5877 0.2747 Se

# 15
Na2CeSbSe4, relaxed, DFT GGA-PBE; ΔE_f (raw) = -1.124 eV per atom; volume = 218.2 Å³/f.u.; crystal system = monoclinic; symmetry = No. 10; uncorrected energy = -4.45 eV per atom
1.0
7.3504 0.0000 0.0000
0.0000 4.2644 0.0000
-2.4521 0.0000 6.9628
Na Ce Sb Se
2 1 1 4
direct
0.0000 0.0000 0.0000 Na
0.5000 0.5000 0.0000 Na
0.0000 0.5000 0.5000 Ce
0.5000 0.0000 0.5000 Sb
0.2491 0.0000 0.7339 Se
0.2607 0.5000 0.2679 Se
0.7393 0.5000 0.7321 Se
0.7509 0.0000 0.2661 Se

# 16
Na2CeSbTe4, relaxed, DFT GGA-PBE; ΔE_f (raw) = -0.846 eV per atom; volume = 266.8 Å³/f.u.; crystal system = monoclinic; symmetry = No. 10; uncorrected energy = -4.00 eV per atom
1.0
7.8523 0.0000 0.0000
0.0000 4.5308 0.0000
-2.6126 0.0000 7.4987
Na Ce Sb Te
2 1 1 4
direct
0.0000 0.0000 0.0000 Na
0.5000 0.5000 0.0000 Na
0.0000 0.5000 0.5000 Ce
0.5000 0.0000 0.5000 Sb
0.2526 0.0000 0.7361 Te
0.2629 0.5000 0.2673 Te
0.7371 0.5000 0.7327 Te
0.7474 0.0000 0.2639 Te

# 17
Na3CeSb2Te6, relaxed, DFT GGA-PBE; ΔE_f (raw) = -0.714 eV per atom; volume = 396.6 Å³/f.u.; crystal system = monoclinic; symmetry = No. 12; uncorrected energy = -3.80 eV per atom
1.0
3.8966 -6.7514 0.0000
3.8966 6.7514 0.0000
-2.5966 0.0000 7.5376
Na Ce Sb Te
3 1 2 6
direct
0.0000 0.0000 0.0000 Na
0.3317 0.6683 0.0000 Na
0.6683 0.3317 0.0000 Na
0.5000 0.5000 0.5000 Ce
0.1668 0.8332 0.5000 Sb
0.8332 0.1668 0.5000 Sb
0.0800 0.4230 0.2679 Te
0.2355 0.2355 0.7345 Te
0.4230 0.0800 0.2679 Te
0.5770 0.9200 0.7321 Te
0.7645 0.7645 0.2655 Te
0.9200 0.5770 0.7321 Te

# 18
NaCeTh2Sb4, relaxed, DFT GGA-PBE; ΔE_f (raw) = -0.799 eV per atom; volume = 262.8 Å³/f.u.; crystal system = monoclinic; symmetry = No. 10; uncorrected energy = -5.62 eV per atom
1.0
7.8274 0.0000 0.0000
0.0000 4.5280 0.0000
-2.5482 0.0000 7.4157
Na Ce Th Sb
1 1 2 4
direct
0.0000 0.0000 0.0000 Na
0.5000 0.5000 0.0000 Ce
0.0000 0.5000 0.5000 Th
0.5000 0.0000 0.5000 Th
0.2500 0.0000 0.7496 Sb
0.2556 0.5000 0.2561 Sb
0.7444 0.5000 0.7439 Sb
0.7500 0.0000 0.2504 Sb

# 19
NaCe2Sc, relaxed, DFT GGA-PBE; volume = 113.3 Å³/f.u.; crystal system = trigonal; symmetry = No. 166; uncorrected energy = -4.67 eV per atom
1.0
3.2230 0.0000 0.0000
-1.6115 2.7912 0.0000
0.0000 0.0000 37.7733
Na Ce Sc
3 6 3
direct
0.0000 0.0000 0.0000 Na
0.3333 0.6667 0.6667 Na
0.6667 0.3333 0.3333 Na
0.0000 0.0000 0.0921 Ce
0.0000 0.0000 0.9079 Ce
0.3333 0.6667 0.5746 Ce
0.3333 0.6667 0.7587 Ce
0.6667 0.3333 0.2413 Ce
0.6667 0.3333 0.4254 Ce
0.0000 0.0000 0.5000 Sc
0.3333 0.6667 0.1667 Sc
0.6667 0.3333 0.8333 Sc

# 20
NaCe2Sc3Se6, relaxed, DFT GGA-PBE; ΔE_f (raw) = -1.661 eV per atom; volume = 278.2 Å³/f.u.; crystal system = monoclinic; symmetry = No. 12; uncorrected energy = -6.09 eV per atom
1.0
8.8384 -1.9908 0.0000
8.8384 1.9908 0.0000
-2.0722 0.0000 7.9047
Na Ce Sc Se
1 2 3 6
direct
0.0000 0.0000 0.0000 Na
0.3325 0.3325 0.6642 Ce
0.6675 0.6675 0.3358 Ce
0.0000 0.0000 0.5000 Sc
0.3336 0.3336 0.1759 Sc
0.6664 0.6664 0.8241 Sc
0.1600 0.1600 0.5954 Se
0.1705 0.1705 0.0653 Se
0.4948 0.4948 0.2613 Se
0.5052 0.5052 0.7387 Se
0.8295 0.8295 0.9347 Se
0.8400 0.8400 0.4046 Se